# 1
PmNdTeBr (PBE, optimized geometry); SG = No. 216; raw formation energy = -1222 meV/atom; theoretical density = 7.57 Mg/m³; raw total energy = -4.81 eV/atom
1.0
0.0000 3.7902 3.7902
3.7902 0.0000 3.7902
3.7902 3.7902 0.0000
Pm Nd Te Br
1 1 1 1
direct
0.0000 0.0000 0.0000
0.5000 0.5000 0.5000
0.7500 0.7500 0.7500
0.2500 0.2500 0.2500

=====

# 2
PrNd2Br (PBE, optimized geometry); offset from the most stable computed form = 0.0 kJ/mol of atoms; SG = No. 166; raw formation energy = -572 meV/atom; theoretical density = 6.50 Mg/m³; raw total energy = -4.57 eV/atom
1.0
1.8858 1.0888 10.5641
-1.8858 1.0888 10.5641
0.0000 -2.1776 10.5641
Pr Nd Br
1 2 1
direct
0.0000 0.0000 0.0000
0.2415 0.2415 0.2415
0.7585 0.7585 0.7585
0.5000 0.5000 0.5000

=====

# 3
Pr2NdBr6 (PBE, optimized geometry); SG = No. 12; raw formation energy = -1652 meV/atom; theoretical density = 4.59 Mg/m³; raw total energy = -4.36 eV/atom
1.0
7.5722 -1.9326 0.0000
7.5722 1.9326 0.0000
-5.2779 0.0000 11.1965
Pr Nd Br
2 1 6
direct
0.1817 0.1817 0.3071
0.8183 0.8183 0.6929
0.5000 0.5000 0.0000
0.1571 0.1571 0.5406
0.2859 0.2859 0.8654
0.4878 0.4878 0.7555
0.5122 0.5122 0.2445
0.7141 0.7141 0.1346
0.8429 0.8429 0.4594

=====

# 4
PrNdBr3 (PBE, optimized geometry); offset from the most stable computed form = 0.0 kJ/mol of atoms; SG = No. 12; raw formation energy = -1525 meV/atom; theoretical density = 4.99 Mg/m³; raw total energy = -4.44 eV/atom
1.0
8.5995 -2.0724 0.0000
8.5995 2.0724 0.0000
-5.6843 0.0000 9.8054
Pr Nd Br
2 2 6
direct
0.1391 0.1391 0.2898
0.8609 0.8609 0.7102
0.4163 0.4163 0.0476
0.5837 0.5837 0.9524
0.0432 0.0432 0.7388
0.2259 0.2259 0.1196
0.3417 0.3417 0.4934
0.6583 0.6583 0.5066
0.7741 0.7741 0.8804
0.9568 0.9568 0.2612

=====

# 5
PrNdBr2 (PBE, optimized geometry); offset from the most stable computed form = 0.0 kJ/mol of atoms; SG = No. 160; raw formation energy = -1159 meV/atom; theoretical density = 6.56 Mg/m³; raw total energy = -4.38 eV/atom
1.0
1.8607 1.0743 9.3882
-1.8607 1.0743 9.3882
0.0000 -2.1485 9.3882
Pr Nd Br
1 1 2
direct
0.0000 0.0000 0.0000
0.1642 0.1642 0.1642
0.5810 0.5810 0.5810
0.7493 0.7493 0.7493

=====

# 6
Pr2Nd2Br7 (PBE, optimized geometry); SG = No. 12; raw formation energy = -1405 meV/atom; theoretical density = 4.28 Mg/m³; raw total energy = -4.21 eV/atom
1.0
4.4431 -6.2281 0.0000
4.4431 6.2281 0.0000
-0.2925 0.0000 7.9186
Pr Nd Br
2 2 7
direct
0.1450 0.8550 0.0000
0.8550 0.1450 0.0000
0.1988 0.1988 0.3587
0.8012 0.8012 0.6413
0.0904 0.4896 0.2109
0.1341 0.1341 0.7289
0.4896 0.0904 0.2109
0.5000 0.5000 0.5000
0.5104 0.9096 0.7891
0.8659 0.8659 0.2711
0.9096 0.5104 0.7891

=====

# 7
PrNd2Br (PBE, optimized geometry); offset from the most stable computed form = 10.3 kJ/mol of atoms; SG = No. 123; raw formation energy = -465 meV/atom; theoretical density = 6.51 Mg/m³; raw total energy = -4.46 eV/atom
1.0
3.6385 0.0000 0.0000
0.0000 3.6385 0.0000
0.0000 0.0000 9.8129
Pr Nd Br
1 2 1
direct
0.0000 0.0000 0.0000
0.5000 0.5000 0.2660
0.5000 0.5000 0.7340
0.0000 0.0000 0.5000

=====

# 8
PrNdBr6 (PBE, optimized geometry); offset from the most stable computed form = 0.9 kJ/mol of atoms; SG = No. 148; raw formation energy = -1831 meV/atom; theoretical density = 4.16 Mg/m³; raw total energy = -4.28 eV/atom
1.0
3.6377 2.1002 6.6639
-3.6377 2.1002 6.6639
0.0000 -4.2005 6.6639
Pr Nd Br
1 1 6
direct
0.0000 0.0000 0.0000
0.5000 0.5000 0.5000
0.0903 0.7486 0.4120
0.2514 0.5880 0.9097
0.4120 0.0903 0.7486
0.5880 0.9097 0.2514
0.7486 0.4120 0.0903
0.9097 0.2514 0.5880

=====

# 9
PrNdBr2 (PBE, optimized geometry); offset from the most stable computed form = 3.8 kJ/mol of atoms; SG = No. 4; raw formation energy = -1120 meV/atom; theoretical density = 5.57 Mg/m³; raw total energy = -4.34 eV/atom
1.0
3.7805 0.0000 0.0000
0.0000 7.2688 0.0000
-0.0070 0.0000 9.6527
Pr Nd Br
2 2 4
direct
0.2493 0.0000 0.4228
0.7507 0.5000 0.5772
0.2526 0.1856 0.7992
0.7474 0.6856 0.2008
0.2479 0.9730 0.0842
0.2510 0.8066 0.6950
0.7490 0.3066 0.3050
0.7521 0.4730 0.9158

=====

# 10
PrNdBr6 (PBE, optimized geometry); offset from the most stable computed form = 0.0 kJ/mol of atoms; SG = No. 12; raw formation energy = -1840 meV/atom; theoretical density = 3.78 Mg/m³; raw total energy = -4.29 eV/atom
1.0
3.6296 -6.6373 0.0000
3.6296 6.6373 0.0000
-2.0474 0.0000 6.9655
Pr Nd Br
1 1 6
direct
0.0000 0.0000 0.0000
0.5000 0.5000 0.5000
0.1039 0.3998 0.2515
0.2500 0.2500 0.7482
0.3998 0.1039 0.2515
0.6002 0.8961 0.7485
0.7500 0.7500 0.2518
0.8961 0.6002 0.7485

=====

# 11
PrNd2Br (PBE, optimized geometry); offset from the most stable computed form = 3.4 kJ/mol of atoms; SG = No. 160; raw formation energy = -537 meV/atom; theoretical density = 6.42 Mg/m³; raw total energy = -4.53 eV/atom
1.0
1.8861 1.0889 10.6963
-1.8861 1.0889 10.6963
0.0000 -2.1779 10.6963
Pr Nd Br
1 2 1
direct
0.0000 0.0000 0.0000
0.2405 0.2405 0.2405
0.4260 0.4260 0.4260
0.8334 0.8334 0.8334

=====

# 12
PrNdBr3 (PBE, optimized geometry); offset from the most stable computed form = 6.5 kJ/mol of atoms; SG = No. 15; raw formation energy = -1458 meV/atom; theoretical density = 5.62 Mg/m³; raw total energy = -4.37 eV/atom
1.0
6.6268 -6.1330 0.0000
6.6268 6.1330 0.0000
-2.0680 0.0000 7.6323
Pr Nd Br
4 4 12
direct
0.0551 0.9449 0.7500
0.2425 0.7575 0.2500
0.7575 0.2425 0.7500
0.9449 0.0551 0.2500
0.1442 0.3458 0.9937
0.3458 0.1442 0.4937
0.6542 0.8558 0.5063
0.8558 0.6542 0.0063
0.0466 0.2438 0.6040
0.1393 0.6322 0.8497
0.2438 0.0466 0.1040
0.2959 0.4498 0.3670
0.3678 0.8607 0.6503
0.4498 0.2959 0.8670
0.5502 0.7041 0.1330
0.6322 0.1393 0.3497
0.7041 0.5502 0.6330
0.7562 0.9534 0.8960
0.8607 0.3678 0.1503
0.9534 0.7562 0.3960

=====

What magnetic moment values result from the calculations? In sequence: 0.000 0.000 0.000 0.000 0.000 1.152 0.000 0.000 0.004 0.000 0.919 0.001 μB/cell.